Record 1
First-principles (PBE-GGA) data for ErSi2Ru2 after structural relaxation, as listed in Alexandria via LeMat-Bulk.

The calculation puts the energy above the most stable polymorph in this dataset at 208 meV/atom. The uncorrected formation energy comes out at -340 kJ/mol of formula units.

The space group is P4/mmm (No. 123) and the conventional cell measures 4.101, 4.101 and 4.921 Å, with angles of 90.00, 90.00 and 90.00 degrees. The asymmetric unit holds Er at (0.000, 0.000, 0.000), Si at (0.500, 0.500, 0.240) and Ru at (0.000, 0.500, 0.500).

---

Record 2
First-principles (PBE-GGA) data for HoSn3Pd6 after structural relaxation, as listed in Alexandria via LeMat-Bulk.

The value obtained for the calculated formation energy is -0.58 eV per atom.

The space group is P2_1/m (No. 11) and the conventional cell measures 9.209, 3.873 and 11.220 Å, with angles of 90.00, 102.90 and 90.00 degrees. The asymmetric unit holds Ho at (0.026, 0.250, 0.233), Sn at (0.128, 0.250, 0.586), Sn at (0.290, 0.750, 0.938), Sn at (0.391, 0.250, 0.317), Pd at (0.097, 0.250, 0.977), Pd at (0.191, 0.750, 0.424), Pd at (0.227, 0.750, 0.171), Pd at (0.306, 0.750, 0.704), Pd at (0.425, 0.250, 0.561) and Pd at (0.431, 0.250, 0.085).

---

Record 3
First-principles (PBE-GGA) data for Cu2AgMo after structural relaxation, as listed in Alexandria via LeMat-Bulk.

The calculation puts the energy above the most stable polymorph in this dataset at 257 meV/atom. The value obtained for the calculated formation energy is 0.46 eV per atom.

The space group is Fm-3m (No. 225) and the conventional cell measures 6.121, 6.121 and 6.121 Å, with angles of 90.00, 90.00 and 90.00 degrees. The asymmetric unit holds Cu at (0.250, 0.250, 0.250), Ag at (0.000, 0.000, 0.000) and Mo at (0.000, 0.000, 0.500).

---

Record 4
First-principles (PBE-GGA) data for Tm2NbHg after structural relaxation, as listed in Alexandria via LeMat-Bulk.

The calculation puts the energy above the most stable polymorph in this dataset at 488 meV/atom. The value obtained for the calculated formation energy is 0.41 eV per atom.

The space group is R-3m (No. 166, hexagonal axes) and the conventional cell measures 3.2219, 3.2219 and 33.2728 Å, with angles of 90.00, 90.00 and 120.00 degrees. The asymmetric unit holds Tm at (0.0000, 0.0000, 0.0881), Nb at (0.0000, 0.0000, 0.0000) and Hg at (0.0000, 0.0000, 0.5000).

---

no.,raw total energy (Ha/atom)
1,-0.2755
2,-0.1966
3,-0.1840
4,-0.1624